Entry 1:
Entry from Alexandria: an optimized crystal structure of Ac2UZnS6 (PBE).

Lattice parameters (Å, degrees): 7.0850 7.0850 7.0850 60.76 60.76 60.76
Last column: nearest neighbours and their distance in Å.
Fractional positions:
Ac 0.0000 0.0000 0.0000  6 S 2.96-3.18
Ac 0.4917 0.4917 0.4917  6 S 2.99-3.08
U 0.7720 0.7720 0.7720  6 S 2.65-2.67
Zn 0.2672 0.2672 0.2672  6 S 2.51-2.62
S 0.0432 0.6104 0.4254  1 Zn 2.62, 1 U 2.65
S 0.1223 0.5354 0.9343  1 Zn 2.51, 1 U 2.67
S 0.4254 0.0432 0.6104  1 Zn 2.62, 1 U 2.65
S 0.5354 0.9343 0.1223  1 Zn 2.51, 1 U 2.67
S 0.6104 0.4254 0.0432  1 Zn 2.62, 1 U 2.65
S 0.9343 0.1223 0.5354  1 Zn 2.51, 1 U 2.67

ΔE_f (raw) = -15.48 eV per formula unit

---

Entry 2:
Entry from Alexandria: an optimized crystal structure of Ba2SrBi2 (PBE).

Lattice parameters (Å, degrees): 9.5379 9.5379 4.7482 90.00 90.00 90.00
Last column: nearest neighbours and their distance in Å.
Fractional positions:
Ba 0.1345 0.3655 0.0000  6 Bi 3.54-3.77, 1 Ba 3.63
Ba 0.3655 0.8655 0.0000  6 Bi 3.54-3.77, 1 Ba 3.63
Ba 0.6345 0.1345 0.0000  6 Bi 3.54-3.77, 1 Ba 3.63
Ba 0.8655 0.6345 0.0000  6 Bi 3.54-3.77, 1 Ba 3.63
Sr 0.0000 0.0000 0.5000  4 Bi 3.54
Sr 0.5000 0.5000 0.5000  4 Bi 3.54
Bi 0.1703 0.6703 0.5000  2 Sr 3.54, 6 Ba 3.54-3.77
Bi 0.3297 0.1703 0.5000  2 Sr 3.54, 6 Ba 3.54-3.77
Bi 0.6703 0.8297 0.5000  2 Sr 3.54, 6 Ba 3.54-3.77
Bi 0.8297 0.3297 0.5000  2 Sr 3.54, 6 Ba 3.54-3.77

distance to the lowest polymorph of the same formula = 0.053 eV per atom
ΔE_f = -839 meV per atom

---

Entry 3:
Entry from Alexandria: an optimized crystal structure of LiZnMo4 (PBE).

Lattice parameters (Å, degrees): 5.2391 5.2391 5.2391 60.00 60.00 60.00
Last column: nearest neighbours and their distance in Å.
Fractional positions:
Li 0.0000 0.0000 0.0000  12 Mo 3.07, 4 Zn 3.21
Zn 0.2500 0.2500 0.2500  12 Mo 3.07, 4 Li 3.21
Mo 0.1231 0.6256 0.6256  6 Mo 2.61-2.63
Mo 0.6256 0.1231 0.6256  6 Mo 2.61-2.63
Mo 0.6256 0.6256 0.1231  6 Mo 2.61-2.63
Mo 0.6256 0.6256 0.6256  6 Mo 2.61-2.63

ΔE_f = 557 meV per atom

---

Entry 4:
Entry from Alexandria: an optimized crystal structure of InMoCl (PBE).

Lattice parameters (Å, degrees): 6.6903 6.6903 6.6903 90.00 90.00 90.00
Last column: nearest neighbours and their distance in Å.
Fractional positions:
In 0.0000 0.0000 0.0000  4 Mo 2.90
In 0.0000 0.5000 0.5000  4 Mo 2.90
In 0.5000 0.0000 0.5000  4 Mo 2.90
In 0.5000 0.5000 0.0000  4 Mo 2.90
Mo 0.2500 0.2500 0.7500  4 Cl 2.90, 4 In 2.90
Mo 0.2500 0.7500 0.2500  4 Cl 2.90, 4 In 2.90
Mo 0.7500 0.2500 0.2500  4 Cl 2.90, 4 In 2.90
Mo 0.7500 0.7500 0.7500  4 Cl 2.90, 4 In 2.90
Cl 0.0000 0.0000 0.5000  4 Mo 2.90
Cl 0.0000 0.5000 0.0000  4 Mo 2.90
Cl 0.5000 0.0000 0.0000  4 Mo 2.90
Cl 0.5000 0.5000 0.5000  4 Mo 2.90

distance to the lowest polymorph of the same formula = 0.805 eV per atom
ΔE_f (raw) = 2.58 eV per formula unit

---

Entry 5:
Entry from Alexandria: an optimized crystal structure of Al4InP (PBE).

Lattice parameters (Å, degrees): 5.4118 5.4118 5.4118 60.00 60.00 60.00
Last column: nearest neighbours and their distance in Å.
Fractional positions:
Al 0.3755 0.3755 0.3755  6 Al 2.69-2.72
Al 0.3755 0.3755 0.8734  6 Al 2.69-2.72
Al 0.3755 0.8734 0.3755  6 Al 2.69-2.72
Al 0.8734 0.3755 0.3755  6 Al 2.69-2.72
In 0.0000 0.0000 0.0000  12 Al 3.17, 4 P 3.31
P 0.7500 0.7500 0.7500  12 Al 3.17, 4 In 3.31

ΔE_f = 318 meV per atom

---

Entry 6:
Entry from Alexandria: an optimized crystal structure of Cs4NiS4 (PBE).

Lattice parameters (Å, degrees): 9.3120 9.3120 9.3120 131.67 131.67 70.75
Last column: nearest neighbours and their distance in Å.
Fractional positions:
Cs 0.0000 0.5000 0.5000  4 S 3.37
Cs 0.2025 0.2025 0.0000  2 S 3.27
Cs 0.5000 0.0000 0.5000  4 S 3.37
Cs 0.7975 0.7975 0.0000  2 S 3.27
Ni 0.5000 0.5000 0.0000  4 S 2.18
S 0.2573 0.5313 0.0000  1 Ni 2.18
S 0.4687 0.4687 0.7260  1 Ni 2.18
S 0.5313 0.2573 0.0000  1 Ni 2.18
S 0.7427 0.7427 0.2740  1 Ni 2.18

ΔE_f (raw) = -5.79 eV per formula unit

---

Entry 7:
Entry from Alexandria: an optimized crystal structure of SmErSc2Hg4 (PBE).

Lattice parameters (Å, degrees): 8.9379 8.9379 8.9379 33.42 33.42 33.42
Last column: nearest neighbours and their distance in Å.
Fractional positions:
Sm 0.0000 0.0000 0.0000  8 Hg 3.17-3.21
Er 0.5000 0.5000 0.5000  8 Hg 3.10-3.13
Sc 0.2496 0.2496 0.2496  8 Hg 3.10-3.24
Sc 0.7504 0.7504 0.7504  8 Hg 3.10-3.24
Hg 0.1269 0.1269 0.1269  4 Sc 3.10-3.16, 3 Er 3.13, 1 Sm 3.21
Hg 0.3775 0.3775 0.3775  1 Er 3.10, 4 Sc 3.13-3.24, 3 Sm 3.17
Hg 0.6225 0.6225 0.6225  1 Er 3.10, 4 Sc 3.13-3.24, 3 Sm 3.17
Hg 0.8731 0.8731 0.8731  4 Sc 3.10-3.16, 3 Er 3.13, 1 Sm 3.21

ΔE_f = -439 meV per atom

---

Entry 8:
Entry from Alexandria: an optimized crystal structure of MgAs2SeI (PBE).

Lattice parameters (Å, degrees): 5.2434 5.2434 4.8719 90.00 90.00 90.00
Last column: nearest neighbours and their distance in Å.
Fractional positions:
Mg 0.0000 0.0000 0.0000  2 Se 2.44, 4 As 2.62
As 0.0000 0.5000 0.0000  2 Mg 2.62
As 0.5000 0.0000 0.0000  2 Mg 2.62
Se 0.0000 0.0000 0.5000  2 Mg 2.44
I 0.5000 0.5000 0.5000  8 As 3.58, 4 Se 3.71

distance to the lowest polymorph of the same formula = 0.000 eV per atom
ΔE_f (raw) = 2.59 eV per formula unit

---

Entry 9:
Entry from Alexandria: an optimized crystal structure of Pm2ThScSe4 (PBE).

Lattice parameters (Å, degrees): 7.1255 4.0951 7.2245 90.00 109.05 90.00
Last column: nearest neighbours and their distance in Å.
Fractional positions:
Pm 0.0000 0.0000 0.0000  6 Se 2.91-2.92
Pm 0.0000 0.5000 0.5000  6 Se 3.03
Th 0.5000 0.0000 0.5000  6 Se 2.94
Sc 0.5000 0.5000 0.0000  6 Se 2.81-2.82
Se 0.2568 0.5000 0.2382  1 Sc 2.81, 3 Pm 2.91-3.03, 2 Th 2.94
Se 0.2674 0.0000 0.7687  2 Sc 2.82, 3 Pm 2.92-3.03, 1 Th 2.94
Se 0.7326 0.0000 0.2313  2 Sc 2.82, 3 Pm 2.92-3.03, 1 Th 2.94
Se 0.7432 0.5000 0.7618  1 Sc 2.81, 3 Pm 2.91-3.03, 2 Th 2.94

ΔE_f (raw) = -13.34 eV per formula unit

---

Entry 10:
Entry from Alexandria: an optimized crystal structure of Ce3TeIrBr (PBE).

Lattice parameters (Å, degrees): 7.7447 4.4178 9.9450 90.00 106.36 90.00
Last column: nearest neighbours and their distance in Å.
Fractional positions:
Ce 0.0079 0.2500 0.3492  3 Ir 2.67-2.95
Ce 0.1956 0.2500 0.9713  3 Br 2.98-3.15, 3 Te 3.26-3.30
Ce 0.4335 0.7500 0.5795  2 Ir 2.80, 1 Br 3.03, 2 Ce 3.06
Ce 0.5665 0.2500 0.4205  2 Ir 2.80, 1 Br 3.03, 2 Ce 3.06
Ce 0.8044 0.7500 0.0287  3 Br 2.98-3.15, 3 Te 3.26-3.30
Ce 0.9921 0.7500 0.6508  3 Ir 2.67-2.95
Te 0.2291 0.7500 0.2185  8 Ce 3.26-3.58
Te 0.7709 0.2500 0.7815  8 Ce 3.26-3.58
Ir 0.2249 0.2500 0.6105  5 Ce 2.67-2.95
Ir 0.7751 0.7500 0.3895  5 Ce 2.67-2.95
Br 0.3892 0.7500 0.8730  5 Ce 2.98-3.24
Br 0.6108 0.2500 0.1270  5 Ce 2.98-3.24

ΔE_f (raw) = -5.75 eV per formula unit

---

Entry 11:
Entry from Alexandria: an optimized crystal structure of Al2Te3 (PBE).

Lattice parameters (Å, degrees): 7.4506 7.4506 8.0766 116.16 116.16 59.61
Last column: nearest neighbours and their distance in Å.
Fractional positions:
Al 0.0640 0.9360 0.5000  4 Te 2.58-2.71
Al 0.5664 0.7560 0.9914  4 Te 2.57-2.70
Al 0.7560 0.5664 0.4914  4 Te 2.57-2.70
Al 0.9360 0.0640 0.0000  4 Te 2.58-2.71
Te 0.1195 0.2949 0.6403  2 Al 2.57-2.58
Te 0.2949 0.1195 0.1403  2 Al 2.57-2.58
Te 0.4416 0.6097 0.6054  3 Al 2.69-2.71
Te 0.6097 0.4416 0.1054  3 Al 2.69-2.71
Te 0.7612 0.9640 0.6143  3 Al 2.68-2.70
Te 0.9640 0.7612 0.1143  3 Al 2.68-2.70

ΔE_f (raw) = -2.13 eV per formula unit

---

Number 1: magnetic moment 2.0 μB per formula unit. Number 2: magnetic moment 0.0 μB per formula unit. Number 3: magnetic moment 0.0 μB per formula unit. Number 4: magnetic moment 3.6 μB per formula unit. Number 5: magnetic moment 0.0 μB per formula unit. Number 6: magnetic moment 0.0 μB per formula unit. Number 7: magnetic moment 0.8 μB per formula unit. Number 8: magnetic moment 0.0 μB per formula unit. Number 9: magnetic moment 0.0 μB per formula unit. Number 10: magnetic moment 2.9 μB per formula unit. Number 11: magnetic moment 0.0 μB per formula unit.